Ac3GeBiN: relaxed, PBE.

a b c (Å): 4.4797 9.8343 10.2341
angles (deg): 101.83 90.00 90.00
Last column: nearest neighbours and their distance in Å.
Element x y z (fractional)
Ac 0.7500 0.8938 0.1658  1 N 2.35
Ac 0.2500 0.1062 0.8342  1 N 2.35
Ac 0.2500 0.8413 0.4823  3 N 2.44-2.56
Ac 0.7500 0.1587 0.5177  3 N 2.44-2.56
Ac 0.7500 0.4233 0.1568  3 Ge 3.15-3.17, 2 Bi 3.43
Ac 0.2500 0.5767 0.8432  3 Ge 3.15-3.17, 2 Bi 3.43
Ge 0.2500 0.6521 0.1577  6 Ac 3.15-3.46
Ge 0.7500 0.3479 0.8423  6 Ac 3.15-3.46
Bi 0.2500 0.1809 0.2201  6 Ac 3.43-3.82
Bi 0.7500 0.8191 0.7799  6 Ac 3.43-3.82
N 0.2500 0.0829 0.6007  4 Ac 2.35-2.56
N 0.7500 0.9171 0.3993  4 Ac 2.35-2.56

Computed properties:
M_tot: 0.00 μB per formula unit
calculated total energy: -68.4 eV for the cell shown
formation energy from raw total energies: -0.842 eV/atom